CuSbO4: relaxed, PBE.

a b c (Å): 5.7087 11.7850 5.3888
angles (deg): 90.00 118.39 90.00
Space group C2/c (No. 15)
One atom of each set of equivalent atoms:
Cu 0.0000 0.0629 0.2500
Sb 0.0000 0.1935 0.7500
O 0.1913 0.0647 0.6744
O 0.2094 0.1933 0.1777

Computed properties:
Formation energy (no corrections) ... -5.17 eV per formula unit
Volume ... 13.3 Å³ per atom
Final energy ... -5.54 eV/atom